(1)
{"formula": "Ir2AuCl", "functional": "PBE-GGA", "state": "optimized geometry", "lattice_angstrom": [[2.870, 0.000, 0.000], [0.000, 2.870, 0.000], [0.000, 0.000, 7.799]], "species": ["Ir", "Ir", "Au", "Cl"], "fractional_positions": [[0.000, 0.000, 0.247], [0.000, 0.000, 0.753], [0.500, 0.500, 0.500], [0.500, 0.500, 0.000]], "e_above_lowest_polymorph_mev_per_atom": 611, "formation_energy_uncorrected_ev_per_atom": 0.94, "space_group": "P4/mmm", "n_ef_per_ev_cell": 5.62}

---

(2)
{"formula": "CaCdHgAs", "functional": "PBE-GGA", "state": "optimized geometry", "lattice_angstrom": [[7.305, 0.000, 0.000], [0.000, 7.305, 0.000], [0.000, 0.000, 7.305]], "species": ["Ca", "Ca", "Ca", "Ca", "Cd", "Cd", "Cd", "Cd", "Hg", "Hg", "Hg", "Hg", "As", "As", "As", "As"], "fractional_positions": [[0.000, 0.000, 0.000], [0.000, 0.500, 0.500], [0.500, 0.000, 0.500], [0.500, 0.500, 0.000], [0.000, 0.000, 0.500], [0.000, 0.500, 0.000], [0.500, 0.000, 0.000], [0.500, 0.500, 0.500], [0.250, 0.250, 0.750], [0.250, 0.750, 0.250], [0.750, 0.250, 0.250], [0.750, 0.750, 0.750], [0.250, 0.250, 0.250], [0.250, 0.750, 0.750], [0.750, 0.250, 0.750], [0.750, 0.750, 0.250]], "space_group": "F-43m", "formation_enthalpy_0k_mev_per_atom": -405, "n_ef_per_ev_cell": 3.43}

---

(3)
{"formula": "Mg3AlIr", "functional": "PBE-GGA", "state": "optimized geometry", "lattice_angstrom": [[4.909, 0.000, 0.000], [0.000, 4.909, 0.000], [0.000, 0.000, 4.909]], "species": ["Mg", "Mg", "Mg", "Al", "Ir"], "fractional_positions": [[0.000, 0.000, 0.500], [0.000, 0.500, 0.000], [0.500, 0.000, 0.000], [0.000, 0.000, 0.000], [0.500, 0.500, 0.500]], "e_above_lowest_polymorph_mev_per_atom": 803, "space_group": "Pm-3m", "formation_enthalpy_0k_mev_per_atom": 994, "n_ef_per_ev_cell": 4.34}

---

(4)
{"formula": "LaSc2Ni2", "functional": "PBE-GGA", "state": "optimized geometry", "lattice_angstrom": [[4.386, 0.000, 0.000], [0.000, 4.386, 0.000], [0.000, 0.000, 10.862]], "species": ["La", "La", "Sc", "Sc", "Sc", "Sc", "Ni", "Ni", "Ni", "Ni"], "fractional_positions": [[0.000, 0.000, 0.000], [0.500, 0.500, 0.500], [0.000, 0.500, 0.250], [0.000, 0.500, 0.750], [0.500, 0.000, 0.250], [0.500, 0.000, 0.750], [0.000, 0.000, 0.390], [0.000, 0.000, 0.610], [0.500, 0.500, 0.110], [0.500, 0.500, 0.890]], "e_above_lowest_polymorph_mev_per_atom": 0, "space_group": "I4/mmm", "formation_enthalpy_0k_mev_per_atom": -299, "n_ef_per_ev_cell": 20.54}

---

(5)
{"formula": "ZrGeS2N", "functional": "PBE-GGA", "state": "optimized geometry", "lattice_angstrom": [[5.090, 0.000, 0.000], [0.000, 5.090, 0.000], [0.000, 0.000, 4.074]], "species": ["Zr", "Ge", "S", "S", "N"], "fractional_positions": [[0.000, 0.000, 0.000], [0.500, 0.500, 0.500], [0.000, 0.500, 0.000], [0.500, 0.000, 0.000], [0.000, 0.000, 0.500]], "e_above_lowest_polymorph_mev_per_atom": 0, "formation_energy_uncorrected_ev_per_atom": -0.08, "space_group": "P4/mmm", "n_ef_per_ev_cell": 2.45}

---

(6)
{"formula": "K14Pm2O9", "functional": "PBE-GGA", "state": "optimized geometry", "lattice_angstrom": [[7.916, 0.000, 0.000], [-3.958, 6.855, 0.000], [0.000, 0.000, 11.079]], "species": ["K", "K", "K", "K", "K", "K", "K", "K", "K", "K", "K", "K", "K", "K", "Pm", "Pm", "O", "O", "O", "O", "O", "O", "O", "O", "O"], "fractional_positions": [[0.000, 0.000, 0.247], [0.000, 0.000, 0.753], [0.054, 0.686, 0.911], [0.101, 0.381, 0.591], [0.280, 0.899, 0.591], [0.314, 0.368, 0.911], [0.368, 0.054, 0.089], [0.381, 0.280, 0.409], [0.619, 0.720, 0.591], [0.632, 0.946, 0.911], [0.686, 0.632, 0.089], [0.720, 0.101, 0.409], [0.899, 0.619, 0.409], [0.946, 0.314, 0.089], [0.333, 0.667, 0.271], [0.667, 0.333, 0.729], [0.000, 0.000, 0.000], [0.105, 0.370, 0.342], [0.265, 0.895, 0.342], [0.333, 0.667, 0.067], [0.370, 0.265, 0.658], [0.630, 0.735, 0.342], [0.667, 0.333, 0.933], [0.735, 0.105, 0.658], [0.895, 0.630, 0.658]], "formation_energy_uncorrected_ev_per_atom": -1.40, "space_group": "P-3", "n_ef_per_ev_cell": 4.39}

---

(7)
{"formula": "YZnHg", "functional": "PBE-GGA", "state": "optimized geometry", "lattice_angstrom": [[6.899, 0.000, 0.000], [0.000, 6.899, 0.000], [0.000, 0.000, 6.899]], "species": ["Y", "Y", "Y", "Y", "Zn", "Zn", "Zn", "Zn", "Hg", "Hg", "Hg", "Hg"], "fractional_positions": [[0.000, 0.000, 0.000], [0.000, 0.500, 0.500], [0.500, 0.000, 0.500], [0.500, 0.500, 0.000], [0.250, 0.250, 0.250], [0.250, 0.750, 0.750], [0.750, 0.250, 0.750], [0.750, 0.750, 0.250], [0.250, 0.250, 0.750], [0.250, 0.750, 0.250], [0.750, 0.250, 0.250], [0.750, 0.750, 0.750]], "space_group": "F-43m", "formation_enthalpy_0k_mev_per_atom": 33, "n_ef_per_ev_cell": 9.05}

---

(8)
{"formula": "Ti4Pb", "functional": "PBE-GGA", "state": "optimized geometry", "lattice_angstrom": [[5.071, 0.000, 0.000], [0.000, 5.071, 0.000], [0.000, 0.000, 5.071]], "species": ["Ti", "Ti", "Ti", "Ti", "Pb"], "fractional_positions": [[0.000, 0.000, 0.000], [0.000, 0.500, 0.500], [0.500, 0.000, 0.500], [0.500, 0.500, 0.000], [0.500, 0.500, 0.500]], "e_above_lowest_polymorph_mev_per_atom": 1431, "space_group": "Pm-3m", "formation_enthalpy_0k_mev_per_atom": 1383, "n_ef_per_ev_cell": 9.67}

---

(9)
{"formula": "CaLa2OsC2", "functional": "PBE-GGA", "state": "optimized geometry", "lattice_angstrom": [[5.933, 0.000, 0.000], [0.000, 11.060, 0.000], [0.000, 0.000, 4.084]], "species": ["Ca", "Ca", "La", "La", "La", "La", "Os", "Os", "C", "C", "C", "C"], "fractional_positions": [[0.000, 0.000, 0.000], [0.500, 0.500, 0.500], [0.048, 0.298, 0.500], [0.452, 0.798, 0.000], [0.548, 0.202, 0.000], [0.952, 0.702, 0.500], [0.000, 0.500, 0.000], [0.500, 0.000, 0.500], [0.240, 0.890, 0.500], [0.260, 0.390, 0.000], [0.740, 0.610, 0.000], [0.760, 0.110, 0.500]], "space_group": "Pnnm", "formation_enthalpy_0k_mev_per_atom": 73, "n_ef_per_ev_cell": 7.78}

---

(10)
{"formula": "Mg2Al2CdAg5", "functional": "PBE-GGA", "state": "optimized geometry", "lattice_angstrom": [[9.649, 0.000, 0.000], [0.000, 9.649, 0.000], [0.000, 0.000, 4.084]], "species": ["Mg", "Mg", "Mg", "Mg", "Al", "Al", "Al", "Al", "Cd", "Cd", "Ag", "Ag", "Ag", "Ag", "Ag", "Ag", "Ag", "Ag", "Ag", "Ag"], "fractional_positions": [[0.175, 0.325, 0.000], [0.325, 0.825, 0.000], [0.675, 0.175, 0.000], [0.825, 0.675, 0.000], [0.120, 0.620, 0.000], [0.380, 0.120, 0.000], [0.620, 0.880, 0.000], [0.880, 0.380, 0.000], [0.000, 0.000, 0.000], [0.500, 0.500, 0.000], [0.000, 0.500, 0.500], [0.074, 0.795, 0.500], [0.205, 0.074, 0.500], [0.295, 0.574, 0.500], [0.426, 0.295, 0.500], [0.500, 0.000, 0.500], [0.574, 0.705, 0.500], [0.705, 0.426, 0.500], [0.795, 0.926, 0.500], [0.926, 0.205, 0.500]], "space_group": "P4/mbm", "formation_enthalpy_0k_mev_per_atom": -50, "n_ef_per_ev_cell": 3.21}

---

(11)
{"formula": "Pm12Ni6Bi", "functional": "PBE-GGA", "state": "optimized geometry", "lattice_angstrom": [[-5.021, 5.021, 5.021], [5.021, -5.021, 5.021], [5.021, 5.021, -5.021]], "species": ["Pm", "Pm", "Pm", "Pm", "Pm", "Pm", "Pm", "Pm", "Pm", "Pm", "Pm", "Pm", "Ni", "Ni", "Ni", "Ni", "Ni", "Ni", "Bi"], "fractional_positions": [[0.121, 0.309, 0.813], [0.187, 0.496, 0.309], [0.187, 0.879, 0.691], [0.309, 0.187, 0.496], [0.309, 0.813, 0.121], [0.496, 0.309, 0.187], [0.504, 0.691, 0.813], [0.691, 0.187, 0.879], [0.691, 0.813, 0.504], [0.813, 0.121, 0.309], [0.813, 0.504, 0.691], [0.879, 0.691, 0.187], [0.121, 0.500, 0.621], [0.379, 0.879, 0.500], [0.500, 0.379, 0.879], [0.500, 0.621, 0.121], [0.621, 0.121, 0.500], [0.879, 0.500, 0.379], [0.000, 0.000, 0.000]], "space_group": "Im-3", "formation_enthalpy_0k_mev_per_atom": -328, "n_ef_per_ev_cell": 19.62}

---

(12)
{"formula": "LiCaPr", "functional": "PBE-GGA", "state": "optimized geometry", "lattice_angstrom": [[3.758, 0.000, 0.000], [0.000, 5.735, 0.000], [-1.890, 0.000, 8.984]], "species": ["Li", "Li", "Ca", "Ca", "Pr", "Pr"], "fractional_positions": [[0.071, 0.250, 0.143], [0.929, 0.750, 0.857], [0.411, 0.250, 0.823], [0.589, 0.750, 0.177], [0.277, 0.750, 0.552], [0.723, 0.250, 0.448]], "e_above_lowest_polymorph_mev_per_atom": 0, "space_group": "P2_1/m", "formation_enthalpy_0k_mev_per_atom": 25, "n_ef_per_ev_cell": 4.67}

---

Number 1: final energy -19.10 eV per cell. Number 2: final energy -37.95 eV per cell. Number 3: final energy -12.42 eV per cell. Number 4: final energy -61.30 eV per cell. Number 5: final energy -30.16 eV per cell. Number 6: final energy -104.48 eV per cell. Number 7: final energy -31.76 eV per cell. Number 8: final energy -28.37 eV per cell. Number 9: final energy -82.20 eV per cell. Number 10: final energy -52.69 eV per cell. Number 11: final energy -101.81 eV per cell. Number 12: final energy -17.24 eV per cell.